# 1
SrPa2NbN4 | PBE | optimized geometry

abc: 6.3472 6.3472 12.2101
angles: 90.00 90.00 147.84
Sites, in units of the cell vectors:
Sr (0.0810, 0.9190, 0.7500)
Sr (0.9190, 0.0810, 0.2500)
Pa (0.3689, 0.6311, 0.5503)
Pa (0.3689, 0.6311, 0.9497)
Pa (0.6311, 0.3689, 0.0503)
Pa (0.6311, 0.3689, 0.4497)
Nb (0.1829, 0.8171, 0.2500)
Nb (0.8171, 0.1829, 0.7500)
N (0.0000, 0.0000, 0.0000)
N (0.0000, 0.0000, 0.5000)
N (0.2623, 0.7377, 0.1014)
N (0.2623, 0.7377, 0.3986)
N (0.4250, 0.5750, 0.7500)
N (0.5750, 0.4250, 0.2500)
N (0.7377, 0.2623, 0.6014)
N (0.7377, 0.2623, 0.8986)

## Properties
Formation energy (no corrections) ... -1135 meV per atom
Volume ... 261.9 Å³ per cell
Magnetization ... 0.000 μB/f.u.
Fermi-level density of states ... 11.8 states/eV per cell



# 2
Sr3Pa3NbN8 | PBE | optimized geometry

abc: 7.2354 7.2354 7.2354
angles: 57.78 57.78 57.78
Sites, in units of the cell vectors:
Sr (0.0000, 0.5000, 0.5000)
Sr (0.5000, 0.0000, 0.5000)
Sr (0.5000, 0.5000, 0.0000)
Pa (0.0000, 0.0000, 0.5000)
Pa (0.0000, 0.5000, 0.0000)
Pa (0.5000, 0.0000, 0.0000)
Nb (0.5000, 0.5000, 0.5000)
N (0.2361, 0.2361, 0.2361)
N (0.2382, 0.7199, 0.7199)
N (0.2801, 0.2801, 0.7618)
N (0.2801, 0.7618, 0.2801)
N (0.7199, 0.2382, 0.7199)
N (0.7199, 0.7199, 0.2382)
N (0.7618, 0.2801, 0.2801)
N (0.7639, 0.7639, 0.7639)

## Properties
Formation energy (no corrections) ... -1268 meV per atom
Volume ... 254.2 Å³ per cell
Magnetization ... 0.000 μB/f.u.
Fermi-level density of states ... 7.2 states/eV per cell



# 3
SrPa2NbN5 | PBE | optimized geometry

abc: 6.7439 6.7439 6.7439
angles: 145.42 127.81 64.12
Sites, in units of the cell vectors:
Sr (0.0000, 0.0000, 0.0000)
Pa (0.2902, 0.7902, 0.5000)
Pa (0.7098, 0.2098, 0.5000)
Nb (0.5000, 0.5000, 0.0000)
N (0.1134, 0.3502, 0.7632)
N (0.4129, 0.6498, 0.7632)
N (0.5000, 0.0000, 0.5000)
N (0.5871, 0.3502, 0.2368)
N (0.8866, 0.6498, 0.2368)

## Properties
Formation energy (no corrections) ... -1357 meV per atom
Volume ... 135.9 Å³ per cell
Magnetization ... 0.003 μB/f.u.
Fermi-level density of states ... 4.4 states/eV per cell



# 4
Sr2PaNbN4 | PBE | optimized geometry

abc: 5.9200 3.4710 6.2334
angles: 90.00 108.17 90.00
Sites, in units of the cell vectors:
Sr (0.0000, 0.0000, 0.0000)
Sr (0.5000, 0.5000, 0.0000)
Pa (0.0000, 0.5000, 0.5000)
Nb (0.5000, 0.0000, 0.5000)
N (0.2448, 0.0000, 0.6957)
N (0.2729, 0.5000, 0.3038)
N (0.7271, 0.5000, 0.6962)
N (0.7552, 0.0000, 0.3043)

## Properties
Formation energy (no corrections) ... -1137 meV per atom
Volume ... 121.7 Å³ per cell
Magnetization ... 0.000 μB/f.u.
Fermi-level density of states ... 3.1 states/eV per cell



# 5
Sr3Pa2NbN6 | PBE | optimized geometry

abc: 6.0619 6.0619 6.2746
angles: 99.24 99.24 119.95
Sites, in units of the cell vectors:
Sr (0.0000, 0.0000, 0.0000)
Sr (0.3388, 0.6612, 0.0000)
Sr (0.6612, 0.3388, 0.0000)
Pa (0.1670, 0.8330, 0.5000)
Pa (0.8330, 0.1670, 0.5000)
Nb (0.5000, 0.5000, 0.5000)
N (0.1085, 0.4355, 0.3051)
N (0.2365, 0.2365, 0.6958)
N (0.4355, 0.1085, 0.3051)
N (0.5645, 0.8915, 0.6949)
N (0.7635, 0.7635, 0.3042)
N (0.8915, 0.5645, 0.6949)

## Properties
Formation energy (no corrections) ... -1223 meV per atom
Volume ... 189.2 Å³ per cell
Magnetization ... 0.000 μB/f.u.
Fermi-level density of states ... 6.0 states/eV per cell



# 6
Sr4Pa3NbN8 | PBE | optimized geometry

abc: 7.2209 7.2209 7.2209
angles: 58.53 58.53 58.53
Sites, in units of the cell vectors:
Sr (0.0000, 0.0000, 0.0000)
Sr (0.0000, 0.5000, 0.5000)
Sr (0.5000, 0.0000, 0.5000)
Sr (0.5000, 0.5000, 0.0000)
Pa (0.0000, 0.0000, 0.5000)
Pa (0.0000, 0.5000, 0.0000)
Pa (0.5000, 0.0000, 0.0000)
Nb (0.5000, 0.5000, 0.5000)
N (0.2321, 0.2321, 0.2321)
N (0.2359, 0.7295, 0.7295)
N (0.2705, 0.2705, 0.7641)
N (0.2705, 0.7641, 0.2705)
N (0.7295, 0.2359, 0.7295)
N (0.7295, 0.7295, 0.2359)
N (0.7641, 0.2705, 0.2705)
N (0.7679, 0.7679, 0.7679)

## Properties
Formation energy (no corrections) ... -1247 meV per atom
Volume ... 257.3 Å³ per cell
Magnetization ... 0.000 μB/f.u.
Fermi-level density of states ... 8.0 states/eV per cell



# 7
Pa2TaNbN6 | PBE | optimized geometry

abc: 5.7538 5.7538 5.7538
angles: 59.13 59.13 59.13
Sites, in units of the cell vectors:
Pa (0.0000, 0.0000, 0.0000)
Pa (0.4992, 0.4992, 0.4992)
Ta (0.7224, 0.7224, 0.7224)
Nb (0.2230, 0.2230, 0.2230)
N (0.0716, 0.4353, 0.8481)
N (0.3507, 0.9290, 0.5774)
N (0.4353, 0.8481, 0.0716)
N (0.5774, 0.3507, 0.9290)
N (0.8481, 0.0716, 0.4353)
N (0.9291, 0.5774, 0.3507)

## Properties
Formation energy (no corrections) ... -1309 meV per atom
Volume ... 132.0 Å³ per cell
Magnetization ... 0.000 μB/f.u.
Fermi-level density of states ... 7.3 states/eV per cell



# 8
PaTaNb2N6 | PBE | optimized geometry

abc: 5.7812 5.7812 5.7812
angles: 56.67 56.67 56.67
Sites, in units of the cell vectors:
Pa (0.0000, 0.0000, 0.0000)
Ta (0.5101, 0.5101, 0.5101)
Nb (0.2175, 0.2175, 0.2175)
Nb (0.7218, 0.7218, 0.7218)
N (0.1148, 0.4292, 0.8031)
N (0.3464, 0.9229, 0.5738)
N (0.4292, 0.8031, 0.1148)
N (0.5738, 0.3464, 0.9229)
N (0.8031, 0.1148, 0.4292)
N (0.9229, 0.5738, 0.3464)

## Properties
Formation energy (no corrections) ... -1018 meV per atom
Volume ... 126.1 Å³ per cell
Magnetization ... 0.000 μB/f.u.
Fermi-level density of states ... 5.5 states/eV per cell



# 9
Tb3Pa2NbN6 | PBE | optimized geometry

abc: 5.9355 5.9355 5.9684
angles: 99.38 99.38 119.98
Sites, in units of the cell vectors:
Tb (0.0000, 0.0000, 0.0000)
Tb (0.3376, 0.6624, 0.0000)
Tb (0.6624, 0.3376, 0.0000)
Pa (0.1669, 0.8331, 0.5000)
Pa (0.8331, 0.1669, 0.5000)
Nb (0.5000, 0.5000, 0.5000)
N (0.0873, 0.4221, 0.2668)
N (0.2444, 0.2444, 0.7374)
N (0.4221, 0.0873, 0.2668)
N (0.5779, 0.9127, 0.7332)
N (0.7556, 0.7556, 0.2626)
N (0.9127, 0.5779, 0.7332)

## Properties
Formation energy (no corrections) ... -1566 meV per atom
Volume ... 172.2 Å³ per cell
Magnetization ... 0.000 μB/f.u.
Fermi-level density of states ... 3.5 states/eV per cell



# 10
TbPaNbN3 | PBE | optimized geometry

abc: 7.0468 3.2792 8.1661
angles: 90.00 93.11 90.00
Sites, in units of the cell vectors:
Tb (0.1149, 0.2500, 0.3354)
Tb (0.8851, 0.7500, 0.6646)
Pa (0.3921, 0.7500, 0.6677)
Pa (0.6079, 0.2500, 0.3323)
Nb (0.1549, 0.2500, 0.9453)
Nb (0.8451, 0.7500, 0.0547)
N (0.1401, 0.7500, 0.1132)
N (0.1564, 0.2500, 0.6522)
N (0.3862, 0.7500, 0.3958)
N (0.6138, 0.2500, 0.6042)
N (0.8436, 0.7500, 0.3478)
N (0.8599, 0.2500, 0.8868)

## Properties
Formation energy (no corrections) ... -1157 meV per atom
Volume ... 188.4 Å³ per cell
Magnetization ... 0.000 μB/f.u.
Fermi-level density of states ... 6.4 states/eV per cell



# 11
TbPa2NbN6 | PBE | optimized geometry

abc: 5.9933 5.9933 5.9933
angles: 58.00 58.00 58.00
Sites, in units of the cell vectors:
Tb (0.0000, 0.0000, 0.0000)
Pa (0.2744, 0.2744, 0.2744)
Pa (0.7747, 0.7747, 0.7747)
Nb (0.4893, 0.4893, 0.4893)
N (0.0930, 0.6486, 0.3972)
N (0.1996, 0.5853, 0.8413)
N (0.3972, 0.0930, 0.6486)
N (0.5853, 0.8413, 0.1996)
N (0.6486, 0.3972, 0.0930)
N (0.8413, 0.1996, 0.5853)

## Properties
Formation energy (no corrections) ... -1414 meV per atom
Volume ... 145.2 Å³ per cell
Magnetization ... 0.000 μB/f.u.
Fermi-level density of states ... 0.0 states/eV per cell



# 12
Pa2TiNbN5 | PBE | optimized geometry

abc: 6.7709 6.7709 10.2102
angles: 90.00 90.00 151.46
Sites, in units of the cell vectors:
Pa (0.1084, 0.8916, 0.5000)
Pa (0.1469, 0.8531, 0.1157)
Pa (0.8531, 0.1469, 0.6157)
Pa (0.8916, 0.1084, 0.0000)
Ti (0.2135, 0.7865, 0.8262)
Ti (0.7865, 0.2135, 0.3262)
Nb (0.4656, 0.5344, 0.2846)
Nb (0.5344, 0.4656, 0.7846)
N (0.0594, 0.9406, 0.8927)
N (0.2775, 0.7225, 0.4788)
N (0.3137, 0.6863, 0.1931)
N (0.3699, 0.6301, 0.8213)
N (0.4887, 0.5113, 0.5930)
N (0.5113, 0.4887, 0.0930)
N (0.6301, 0.3699, 0.3213)
N (0.6863, 0.3137, 0.6931)
N (0.7225, 0.2775, 0.9788)
N (0.9406, 0.0594, 0.3927)

## Properties
Formation energy (no corrections) ... -1427 meV per atom
Volume ... 223.6 Å³ per cell
Magnetization ... 0.000 μB/f.u.
Fermi-level density of states ... 11.4 states/eV per cell



# 13
PaTiNb2N6 | PBE | optimized geometry

abc: 5.7410 5.7410 5.7410
angles: 56.73 56.73 56.73
Sites, in units of the cell vectors:
Pa (0.0000, 0.0000, 0.0000)
Ti (0.4849, 0.4849, 0.4849)
Nb (0.2713, 0.2713, 0.2713)
Nb (0.7801, 0.7801, 0.7801)
N (0.0754, 0.6469, 0.4283)
N (0.1908, 0.5706, 0.8879)
N (0.4283, 0.0754, 0.6469)
N (0.5706, 0.8879, 0.1908)
N (0.6469, 0.4283, 0.0754)
N (0.8879, 0.1908, 0.5706)

## Properties
Formation energy (no corrections) ... -1066 meV per atom
Volume ... 123.7 Å³ per cell
Magnetization ... 0.000 μB/f.u.
Fermi-level density of states ... 4.7 states/eV per cell



# 14
Pa2Ti3NbN6 | PBE | optimized geometry

abc: 5.4869 5.4869 5.6650
angles: 99.06 99.06 120.11
Sites, in units of the cell vectors:
Pa (0.1676, 0.8324, 0.0000)
Pa (0.8324, 0.1676, 0.0000)
Ti (0.0000, 0.0000, 0.5000)
Ti (0.3442, 0.6558, 0.5000)
Ti (0.6558, 0.3442, 0.5000)
Nb (0.5000, 0.5000, 0.0000)
N (0.0792, 0.4068, 0.7188)
N (0.2645, 0.2645, 0.2791)
N (0.4068, 0.0792, 0.7188)
N (0.5932, 0.9208, 0.2812)
N (0.7355, 0.7355, 0.7209)
N (0.9208, 0.5932, 0.2812)

## Properties
Formation energy (no corrections) ... -1501 meV per atom
Volume ... 140.0 Å³ per cell
Magnetization ... 0.000 μB/f.u.
Fermi-level density of states ... 7.0 states/eV per cell



# 15
PaNbTlN4 | PBE | optimized geometry

abc: 6.0983 5.9118 7.5582
angles: 90.00 112.52 90.00
Sites, in units of the cell vectors:
Pa (0.2159, 0.2500, 0.0444)
Pa (0.7841, 0.7500, 0.9556)
Nb (0.2051, 0.7500, 0.7935)
Nb (0.7949, 0.2500, 0.2065)
Tl (0.3815, 0.7500, 0.3515)
Tl (0.6185, 0.2500, 0.6485)
N (0.0017, 0.0081, 0.1818)
N (0.0017, 0.4919, 0.1818)
N (0.4553, 0.7500, 0.0416)
N (0.4584, 0.7500, 0.6836)
N (0.5416, 0.2500, 0.3164)
N (0.5447, 0.2500, 0.9584)
N (0.9983, 0.5081, 0.8182)
N (0.9983, 0.9919, 0.8182)

## Properties
Formation energy (no corrections) ... -520 meV per atom
Volume ... 251.7 Å³ per cell
Magnetization ... 0.000 μB/f.u.
Fermi-level density of states ... 4.0 states/eV per cell



# 16
Tm2PaNbN6 | PBE | optimized geometry

abc: 5.9252 5.9252 5.9252
angles: 57.75 57.75 57.75
Sites, in units of the cell vectors:
Tm (0.0000, 0.0000, 0.0000)
Tm (0.4978, 0.4978, 0.4978)
Pa (0.2223, 0.2223, 0.2223)
Nb (0.7231, 0.7231, 0.7231)
N (0.0653, 0.4380, 0.8432)
N (0.3473, 0.9098, 0.5899)
N (0.4380, 0.8432, 0.0653)
N (0.5899, 0.3473, 0.9098)
N (0.8432, 0.0653, 0.4380)
N (0.9098, 0.5899, 0.3473)

## Properties
Formation energy (no corrections) ... -1085 meV per atom
Volume ... 139.5 Å³ per cell
Magnetization ... 0.006 μB/f.u.
Fermi-level density of states ... 8.0 states/eV per cell



# 17
TmPa2NbN6 | PBE | optimized geometry

abc: 5.9498 5.9498 5.9498
angles: 58.11 58.11 58.11
Sites, in units of the cell vectors:
Tm (0.0000, 0.0000, 0.0000)
Pa (0.2790, 0.2790, 0.2790)
Pa (0.7769, 0.7769, 0.7769)
Nb (0.4953, 0.4953, 0.4953)
N (0.1022, 0.6629, 0.3903)
N (0.2038, 0.5982, 0.8441)
N (0.3903, 0.1022, 0.6629)
N (0.5982, 0.8441, 0.2038)
N (0.6629, 0.3903, 0.1022)
N (0.8441, 0.2038, 0.5982)

## Properties
Formation energy (no corrections) ... -1443 meV per atom
Volume ... 142.5 Å³ per cell
Magnetization ... 0.000 μB/f.u.
Fermi-level density of states ... 0.0 states/eV per cell



# 18
UPaNbN3 | PBE | optimized geometry

abc: 7.2143 3.1926 8.0419
angles: 90.00 92.21 90.00
Sites, in units of the cell vectors:
U (0.1195, 0.2500, 0.3387)
U (0.8805, 0.7500, 0.6613)
Pa (0.3907, 0.7500, 0.6717)
Pa (0.6093, 0.2500, 0.3283)
Nb (0.1483, 0.2500, 0.9388)
Nb (0.8517, 0.7500, 0.0612)
N (0.1415, 0.2500, 0.6501)
N (0.1468, 0.7500, 0.1209)
N (0.3758, 0.7500, 0.3952)
N (0.6242, 0.2500, 0.6048)
N (0.8532, 0.2500, 0.8791)
N (0.8585, 0.7500, 0.3499)

## Properties
Formation energy (no corrections) ... -1049 meV per atom
Volume ... 185.1 Å³ per cell
Magnetization ... 1.312 μB/f.u.
Fermi-level density of states ... 14.4 states/eV per cell



# 19
UPaNb2N6 | PBE | optimized geometry

abc: 5.7647 5.7647 5.7647
angles: 58.74 58.74 58.74
Sites, in units of the cell vectors:
U (0.0000, 0.0000, 0.0000)
Pa (0.5063, 0.5063, 0.5063)
Nb (0.2871, 0.2871, 0.2871)
Nb (0.7824, 0.7824, 0.7824)
N (0.0775, 0.4182, 0.6714)
N (0.1600, 0.9287, 0.5813)
N (0.4182, 0.6714, 0.0775)
N (0.5813, 0.1600, 0.9287)
N (0.6714, 0.0775, 0.4182)
N (0.9287, 0.5813, 0.1600)

## Properties
Formation energy (no corrections) ... -1170 meV per atom
Volume ... 131.6 Å³ per cell
Magnetization ... 0.493 μB/f.u.
Fermi-level density of states ... 8.4 states/eV per cell



# 20
Pa2NbVN6 | PBE | optimized geometry

abc: 5.3740 5.3740 4.7818
angles: 90.00 90.00 90.00
Sites, in units of the cell vectors:
Pa (0.0000, 0.5000, 0.0000)
Pa (0.5000, 0.0000, 0.0000)
Nb (0.0000, 0.0000, 0.5937)
V (0.5000, 0.5000, 0.5992)
N (0.0000, 0.0000, 0.1978)
N (0.2550, 0.2550, 0.7517)
N (0.2550, 0.7450, 0.7517)
N (0.5000, 0.5000, 0.2363)
N (0.7450, 0.2550, 0.7517)
N (0.7450, 0.7450, 0.7517)

## Properties
Formation energy (no corrections) ... -1133 meV per atom
Volume ... 138.1 Å³ per cell
Magnetization ... 1.556 μB/f.u.
Fermi-level density of states ... 6.5 states/eV per cell